CuReSi | GGA-PBE | relaxed

crystal system	tetragonal
excess energy over the best structure of this formula in the dataset	104	meV per atom
D(E_F)	0.740	states/eV/atom
ΔE_f (raw)	0.169	eV/atom
total moment	0.0000	μB per atom

abc: 4.8302 4.8302 4.8302
angles: 143.56 143.56 52.49
Closest atoms and distances in Å follow each position.
Positions (direct):
Cu 0.0000 0.0000 0.0000  4 Si 2.53, 5 Re 2.69-2.70
Re 0.3117 0.3117 0.0000  4 Si 2.52, 5 Cu 2.69-2.70
Si 0.6571 0.6571 0.0000  4 Re 2.52, 4 Cu 2.53

=====

Cu2ReSi | GGA-PBE | relaxed

crystal system	tetragonal
D(E_F)	0.957	states/eV/atom
ΔE_f (raw)	0.341	eV/atom
total moment	0.0000	μB per atom

abc: 3.2465 3.2465 5.0359
angles: 90.00 90.00 90.00
Closest atoms and distances in Å follow each position.
Positions (direct):
Cu 0.0000 0.0000 0.2471  2 Cu 2.49-2.55, 4 Si 2.61, 4 Re 2.63
Cu 0.0000 0.0000 0.7529  2 Cu 2.49-2.55, 4 Si 2.61, 4 Re 2.63
Re 0.5000 0.5000 0.5000  2 Si 2.52, 8 Cu 2.63
Si 0.5000 0.5000 0.0000  2 Re 2.52, 8 Cu 2.61

=====

CuReSi | GGA-PBE | relaxed

crystal system	cubic
excess energy over the best structure of this formula in the dataset	161	meV per atom
D(E_F)	0.772	states/eV/atom
ΔE_f (raw)	0.227	eV/atom
total moment	0.0001	μB per atom

abc: 3.9698 3.9698 3.9698
angles: 60.00 60.00 60.00
Closest atoms and distances in Å follow each position.
Positions (direct):
Cu 0.0000 0.0000 0.0000  4 Si 2.43
Re 0.5000 0.5000 0.5000  4 Si 2.43
Si 0.2500 0.2500 0.2500  4 Re 2.43, 4 Cu 2.43

=====

Y2CuReSi | GGA-PBE | relaxed

crystal system	tetragonal
D(E_F)	1.207	states/eV/atom
ΔE_f (raw)	0.455	eV/atom
total moment	0.0063	μB per atom

abc: 5.3416 5.3416 4.4113
angles: 90.00 90.00 90.00
Closest atoms and distances in Å follow each position.
Positions (direct):
Y 0.0000 0.5000 0.0000  2 Si 2.67
Y 0.5000 0.0000 0.0000  2 Si 2.67
Cu 0.0000 0.0000 0.5000  8 Y 3.46, 4 Re 3.78
Re 0.5000 0.5000 0.5000  2 Si 2.21
Si 0.5000 0.5000 0.0000  2 Re 2.21

=====

ZrCuRe2Si | GGA-PBE | relaxed

crystal system	tetragonal
D(E_F)	1.199	states/eV/atom
ΔE_f (raw)	2.352	eV/atom
total moment	0.4715	μB per atom

abc: 4.8422 4.8422 4.9558
angles: 90.00 90.00 90.00
Closest atoms and distances in Å follow each position.
Positions (direct):
Zr 0.0000 0.0000 0.0000  4 Re 2.42, 2 Si 2.48
Cu 0.5000 0.5000 0.5000  4 Si 3.42, 8 Re 3.46
Re 0.0000 0.5000 0.0000  2 Zr 2.42
Re 0.5000 0.0000 0.0000  2 Zr 2.42
Si 0.0000 0.0000 0.5000  2 Zr 2.48

=====

SmCuRe | GGA-PBE | relaxed

crystal system	monoclinic
calculated total energy	-6.83	eV per atom
D(E_F)	0.773	states/eV/atom
total moment	0.0000	μB per atom

abc: 5.7127 5.7127 6.6864
angles: 94.77 94.77 33.20
Closest atoms and distances in Å follow each position.
Positions (direct):
Sm 0.0572 0.0572 0.2624  4 Cu 2.96-3.10, 4 Re 3.00-3.17, 2 Sm 3.26
Sm 0.9428 0.9428 0.7376  4 Cu 2.96-3.10, 4 Re 3.00-3.17, 2 Sm 3.26
Cu 0.2151 0.2151 0.6443  2 Cu 2.69, 3 Re 2.69-2.91, 3 Sm 2.96-3.00
Cu 0.7849 0.7849 0.3557  2 Cu 2.69, 3 Re 2.69-2.91, 3 Sm 2.96-3.00
Re 0.3328 0.3328 0.0519  2 Re 2.49, 2 Cu 2.69
Re 0.6672 0.6672 0.9481  2 Re 2.49, 2 Cu 2.69